1.
An optimized crystal structure of Si3Se. Source: the Alexandria database, functional GGA-PBEsol.

energy relative to the elements, uncorrected = 0.369 eV per atom
Fermi-level density of states = 1.7 states/eV/f.u.
crystal system = orthorhombic
space-group type = Immm (71)

Cell lengths 3.167, 4.209, 9.879 Å; angles 90.00, 90.00, 90.00 degrees
Element x y z (fractional)
Si  0.000  0.000  0.000
Si  0.000  0.500  0.292
Si  0.000  0.500  0.708
Si  0.500  0.000  0.208
Si  0.500  0.000  0.792
Si  0.500  0.500  0.500
Se  0.000  0.000  0.500
Se  0.500  0.500  0.000



2.
An optimized crystal structure of Ta2BeSi. Source: the Alexandria database, functional GGA-PBEsol.

energy relative to the elements, uncorrected = -0.569 eV per atom
relative energy among the computed polymorphs = 0 meV/atom
Fermi-level density of states = 0.9 states/eV/f.u.
crystal system = monoclinic
space-group type = Pm (6)

Cell lengths 3.422, 3.478, 4.943 Å; angles 90.00, 110.23, 90.00 degrees
Element x y z (fractional)
Ta  0.000  0.000  0.000
Ta  0.304  0.500  0.610
Be  0.576  0.500  0.150
Si  0.715  0.000  0.433



3.
An optimized crystal structure of CaMgCu2. Source: the Alexandria database, functional GGA-PBEsol.

Fermi-level density of states = 1.6 states/eV/f.u.
crystal system = tetragonal
space-group type = P4/mmm (123)
ΔE_f = -1.8 kJ/mol of atoms

Cell lengths 3.315, 3.315, 6.554 Å; angles 90.00, 90.00, 90.00 degrees
Element x y z (fractional)
Ca  0.000  0.000  0.000
Mg  0.000  0.000  0.500
Cu  0.500  0.500  0.299
Cu  0.500  0.500  0.701



4.
An optimized crystal structure of Fe11Mo6C5. Source: the Alexandria database, functional GGA-PBEsol.

Fermi-level density of states = 22.5 states/eV/f.u.
crystal system = monoclinic
space-group type = C2/m (12)
ΔE_f = -9.4 kJ/mol of atoms

Cell lengths 6.563, 6.563, 6.398 Å; angles 114.32, 114.32, 70.44 degrees
Element x y z (fractional)
Fe  0.000  0.000  0.000
Fe  0.020  0.696  0.624
Fe  0.261  0.261  0.206
Fe  0.304  0.980  0.376
Fe  0.346  0.654  0.500
Fe  0.364  0.364  0.661
Fe  0.636  0.636  0.339
Fe  0.654  0.346  0.500
Fe  0.696  0.020  0.624
Fe  0.739  0.739  0.794
Fe  0.980  0.304  0.376
Mo  0.118  0.118  0.715
Mo  0.186  0.586  0.040
Mo  0.414  0.814  0.960
Mo  0.586  0.186  0.040
Mo  0.814  0.414  0.960
Mo  0.882  0.882  0.285
C  0.063  0.544  0.310
C  0.456  0.937  0.690
C  0.500  0.500  0.000
C  0.544  0.063  0.310
C  0.937  0.456  0.690



5.
An optimized crystal structure of TlPIr. Source: the Alexandria database, functional GGA-PBEsol.

Fermi-level density of states = 1.3 states/eV/f.u.
crystal system = trigonal
space-group type = P3m1 (156)
ΔE_f = -4.0 kJ/mol of atoms

Cell lengths 3.436, 3.436, 5.663 Å; angles 90.00, 90.00, 120.00 degrees
Element x y z (fractional)
Tl  0.000  0.000  0.000
P  0.667  0.333  0.418
Ir  0.333  0.667  0.611



6.
An optimized crystal structure of SnH2AuS. Source: the Alexandria database, functional GGA-PBEsol.

Fermi-level density of states = 1.6 states/eV/f.u.
crystal system = tetragonal
space-group type = P4/mmm (123)

Cell lengths 3.672, 3.672, 5.494 Å; angles 90.00, 90.00, 90.00 degrees
Element x y z (fractional)
Sn  0.000  0.000  0.000
H  0.000  0.500  0.000
H  0.500  0.000  0.000
Au  0.000  0.000  0.500
S  0.500  0.500  0.500



For the records above, the corresponding electronic total energy values read -4.9035 -9.2814 -3.1487 -9.9799 -6.1235 -3.5974 eV/atom.